(1)
Computed, not measured: a relaxed structure of Bi3BN at the PBE-GGA level of DFT.

```
Bi3BN
1.0
-1.466 -2.022 -4.213
-0.410 -4.343 2.227
-4.655 1.019 1.131
Bi N B
3 1 1
direct
0.500 0.000 0.000 Bi
0.000 0.000 0.500 Bi
0.000 0.500 0.000 Bi
0.000 0.000 0.000 N
0.500 0.500 0.500 B
```

Output
Distance to the lowest polymorph of the same formula (meV per atom): 0
Magnetic moment (μB per cell): 0.000
SG: Pm-3m
Electronic total energy (eV per atom): -4.04

---

(2)
Computed, not measured: a relaxed structure of K3GaBr4 at the PBE-GGA level of DFT.

```
K3GaBr4
1.0
-3.505 -3.368 -4.468
-1.609 -6.943 6.497
-9.330 5.284 3.336
K Br Ga
6 8 2
direct
0.559 0.331 0.253 K
0.059 0.157 0.500 K
0.059 0.669 0.247 K
0.559 0.843 0.000 K
0.559 0.331 0.747 K
0.059 0.669 0.753 K
0.059 0.329 0.247 Br
0.559 0.671 0.747 Br
0.559 0.671 0.253 Br
0.059 0.329 0.753 Br
0.615 0.176 0.000 Br
0.115 0.824 0.500 Br
0.559 0.150 0.500 Br
0.059 0.850 0.000 Br
0.547 0.826 0.500 Ga
0.047 0.174 0.000 Ga
```

Output
Distance to the lowest polymorph of the same formula (meV per atom): 36
Magnetic moment (μB per cell): 0.000
SG: Pmn2_1
Electronic total energy (eV per atom): -3.03

---

(3)
Computed, not measured: a relaxed structure of CuPOsW2 at the PBE-GGA level of DFT.

```
CuPOsW2
1.0
-2.732 0.514 3.445
2.889 -1.930 2.579
1.843 3.929 0.875
Cu Os W P
1 1 2 1
direct
0.500 0.500 0.500 Cu
0.000 0.500 0.000 Os
0.500 0.000 0.000 W
0.000 0.000 0.500 W
0.000 0.000 0.000 P
```

Output
Magnetic moment (μB per cell): 0.000
ΔE_f (eV per atom): 1.044
SG: P4/mmm
Electronic total energy (eV per atom): -8.28

---

(4)
Computed, not measured: a relaxed structure of BaCd6Au2 at the PBE-GGA level of DFT.

```
BaCd6Au2
1.0
-0.582 4.085 1.927
-3.413 -1.670 2.509
7.022 -2.668 7.777
Cd Au Ba
6 2 1
direct
0.000 0.500 0.708 Cd
0.500 0.000 0.292 Cd
0.500 0.000 0.708 Cd
0.000 0.500 0.292 Cd
0.500 0.500 0.500 Cd
0.000 0.000 0.500 Cd
0.500 0.500 0.130 Au
0.500 0.500 0.870 Au
0.000 0.000 0.000 Ba
```

Output
Distance to the lowest polymorph of the same formula (meV per atom): 0
Magnetic moment (μB per cell): 0.000
ΔE_f (eV per atom): -0.287
SG: P4/mmm
Electronic total energy (eV per atom): -1.84

---

(5)
Computed, not measured: a relaxed structure of Ac2ThMo2N6 at the PBE-GGA level of DFT.

```
Ac2ThMo2N6
1.0
6.027 0.000 0.000
3.014 5.220 0.000
3.014 1.740 6.228
N Ac Mo Th
6 2 2 1
direct
0.256 0.256 0.716 N
0.229 0.744 0.284 N
0.744 0.744 0.284 N
0.771 0.256 0.716 N
0.744 0.229 0.284 N
0.256 0.771 0.716 N
0.207 0.207 0.378 Ac
0.793 0.793 0.622 Ac
0.595 0.595 0.215 Mo
0.405 0.405 0.785 Mo
0.000 0.000 0.000 Th
```

Output
Magnetic moment (μB per cell): 0.000
SG: R-3m
Electronic total energy (eV per atom): -8.83

---

(6)
Computed, not measured: a relaxed structure of NaZn2In2 at the PBE-GGA level of DFT.

```
NaZn2In2
1.0
7.982 0.000 0.000
0.000 7.982 0.000
0.000 0.000 3.556
In Na Zn
4 2 4
direct
0.180 0.680 0.500 In
0.820 0.320 0.500 In
0.320 0.180 0.500 In
0.680 0.820 0.500 In
0.000 0.000 0.000 Na
0.500 0.500 0.000 Na
0.882 0.618 0.000 Zn
0.118 0.382 0.000 Zn
0.618 0.118 0.000 Zn
0.382 0.882 0.000 Zn
```

Output
Distance to the lowest polymorph of the same formula (meV per atom): 34
Magnetic moment (μB per cell): 0.000
ΔE_f (eV per atom): 0.008
SG: P4/mbm
Electronic total energy (eV per atom): -1.86

---

(7)
Computed, not measured: a relaxed structure of Y2Rh at the PBE-GGA level of DFT.

```
Y2Rh
1.0
4.826 0.000 0.000
2.413 4.179 0.000
2.413 1.393 3.940
Y Rh
2 1
direct
0.250 0.250 0.250 Y
0.750 0.750 0.750 Y
0.000 0.000 0.000 Rh
```

Output
Magnetic moment (μB per cell): 0.000
ΔE_f (eV per atom): -0.558
SG: Fm-3m
Electronic total energy (eV per atom): -7.32

---

(8)
Computed, not measured: a relaxed structure of SrMo2Pt at the PBE-GGA level of DFT.

```
SrMo2Pt
1.0
-0.810 -2.725 -4.927
3.735 -3.869 -1.851
-2.879 1.286 4.734
Mo Sr Pt
2 1 1
direct
0.500 0.500 0.000 Mo
0.000 0.000 0.000 Mo
0.750 0.250 0.500 Sr
0.250 0.750 0.500 Pt
```

Output
Distance to the lowest polymorph of the same formula (meV per atom): 439
Magnetic moment (μB per cell): 0.000
ΔE_f (eV per atom): 0.649
SG: I4/mmm
Electronic total energy (eV per atom): -6.70

---

(9)
Computed, not measured: a relaxed structure of Cs4Tb3GaO8 at the PBE-GGA level of DFT.

```
Cs4Tb3GaO8
1.0
6.936 0.000 0.000
0.000 7.920 0.610
-3.468 -3.503 5.081
Cs O Ga Tb
4 8 1 3
direct
0.000 0.000 0.000 Cs
0.500 0.000 0.500 Cs
0.000 0.000 0.500 Cs
0.500 0.000 0.000 Cs
0.762 0.318 0.523 O
0.749 0.653 0.947 O
0.802 0.347 0.053 O
0.198 0.653 0.947 O
0.717 0.664 0.434 O
0.251 0.347 0.053 O
0.238 0.682 0.477 O
0.283 0.336 0.566 O
0.000 0.500 0.000 Ga
0.500 0.500 0.000 Tb
0.000 0.500 0.500 Tb
0.500 0.500 0.500 Tb
```

Output
Magnetic moment (μB per cell): 0.000
SG: C2/m
Electronic total energy (eV per atom): -6.00

---

(10)
Computed, not measured: a relaxed structure of AcLaDy2Er at the PBE-GGA level of DFT.

```
AcLaDy2Er
1.0
-2.630 5.250 0.410
-1.735 -1.338 6.013
7.063 3.060 6.130
Dy Er La Ac
4 2 2 2
direct
0.750 0.965 0.402 Dy
0.750 0.775 0.797 Dy
0.250 0.225 0.203 Dy
0.250 0.035 0.598 Dy
0.750 0.162 0.002 Er
0.250 0.838 0.998 Er
0.250 0.642 0.403 La
0.750 0.358 0.597 La
0.250 0.429 0.803 Ac
0.750 0.571 0.197 Ac
```

Output
Magnetic moment (μB per cell): 0.000
ΔE_f (eV per atom): 0.048
SG: P2_1/m
Electronic total energy (eV per atom): -4.51

---

(11)
Computed, not measured: a relaxed structure of BaHg2Ir at the PBE-GGA level of DFT.

```
BaHg2Ir
1.0
-3.491 3.226 -0.603
-4.007 -1.223 -2.326
-4.854 -0.960 3.932
Hg Ir Ba
2 1 1
direct
0.782 0.782 0.653 Hg
0.038 0.038 0.886 Hg
0.437 0.437 0.689 Ir
0.243 0.243 0.272 Ba
```

Output
Magnetic moment (μB per cell): 0.000
ΔE_f (eV per atom): -0.073
SG: Cm
Electronic total energy (eV per atom): -2.92

---

(12)
Computed, not measured: a relaxed structure of Ba2BeW2 at the PBE-GGA level of DFT.

```
Ba2BeW2
1.0
-0.388 -9.210 -3.379
-0.282 -3.370 9.218
-3.192 0.150 -0.043
W Ba Be
4 4 2
direct
0.081 0.581 0.500 W
0.419 0.081 0.500 W
0.581 0.919 0.500 W
0.919 0.419 0.500 W
0.793 0.707 0.000 Ba
0.707 0.207 0.000 Ba
0.207 0.293 0.000 Ba
0.293 0.793 0.000 Ba
0.500 0.500 0.000 Be
0.000 0.000 0.000 Be
```

Output
Distance to the lowest polymorph of the same formula (meV per atom): 608
Magnetic moment (μB per cell): 0.000
ΔE_f (eV per atom): 1.659
SG: P4/mbm
Electronic total energy (eV per atom): -5.04

---

Copy entry 11 word for word.
Computed, not measured: a relaxed structure of BaHg2Ir at the PBE-GGA level of DFT.

```
BaHg2Ir
1.0
-3.491 3.226 -0.603
-4.007 -1.223 -2.326
-4.854 -0.960 3.932
Hg Ir Ba
2 1 1
direct
0.782 0.782 0.653 Hg
0.038 0.038 0.886 Hg
0.437 0.437 0.689 Ir
0.243 0.243 0.272 Ba
```

Output
Magnetic moment (μB per cell): 0.000
ΔE_f (eV per atom): -0.073
SG: Cm
Electronic total energy (eV per atom): -2.92